Material: Er5Ti3H12
Method: DFT, PBE
State: relaxed

The calculation puts the total energy at -4.655 eV per atom. The volume is 910 Å³/cell.

a b c (Å): 10.5727 10.5727 10.5727
angles (deg): 109.47 109.47 109.47
Positions (direct):
H (0.5953, 0.9238, 0.6526)
H (0.1526, 0.0573, 0.7289)
Er (0.2500, 0.3750, 0.6250)
Er (0.6250, 0.8750, 0.2500)
Ti (0.2500, 0.1250, 0.3750)
Ti (0.8750, 0.1250, 0.2500)
Ti (0.6250, 0.2500, 0.3750)
H (0.7289, 0.1716, 0.0762)
H (0.4238, 0.7711, 0.8284)
Er (0.5000, 0.5000, 0.5000)
Ti (0.1250, 0.8750, 0.7500)
Ti (0.8750, 0.7500, 0.1250)
Er (0.0000, 0.5000, 0.5000)
H (0.9047, 0.0573, 0.8284)
H (0.9427, 0.8474, 0.7711)
H (0.6716, 0.5953, 0.9427)
H (0.4427, 0.1716, 0.5953)
H (0.0953, 0.1526, 0.4238)
Ti (0.7500, 0.8750, 0.6250)
Er (0.3750, 0.1250, 0.7500)
Ti (0.7500, 0.3750, 0.1250)
Er (0.5000, 0.5000, 0.0000)
Er (0.0000, 0.5000, 0.0000)
H (0.7711, 0.3474, 0.9427)
H (0.8474, 0.9047, 0.0762)
Er (0.0000, 0.0000, 0.5000)
H (0.6526, 0.2289, 0.5573)
Er (0.1250, 0.3750, 0.2500)
H (0.3284, 0.9238, 0.7711)
H (0.4238, 0.6526, 0.0953)
Er (0.0000, 0.0000, 0.0000)
H (0.8474, 0.9427, 0.2711)
H (0.0762, 0.6716, 0.7289)
Er (0.8750, 0.6250, 0.7500)
Ti (0.3750, 0.6250, 0.2500)
H (0.0762, 0.4047, 0.8474)
H (0.8284, 0.2711, 0.4238)
Er (0.5000, 0.0000, 0.0000)
Er (0.3750, 0.2500, 0.1250)
H (0.5762, 0.3474, 0.9047)
H (0.2711, 0.8284, 0.9238)
Er (0.8750, 0.2500, 0.6250)
H (0.1716, 0.7289, 0.5762)
H (0.7289, 0.5573, 0.1526)
H (0.6716, 0.0762, 0.2289)
H (0.3474, 0.5762, 0.4047)
H (0.2711, 0.4427, 0.8474)
Er (0.7500, 0.1250, 0.8750)
H (0.2289, 0.6526, 0.0573)
Ti (0.1250, 0.2500, 0.8750)
Ti (0.2500, 0.6250, 0.8750)
H (0.7711, 0.4238, 0.3284)
H (0.5573, 0.8284, 0.4047)
H (0.0573, 0.1526, 0.2289)
H (0.4047, 0.3284, 0.5573)
H (0.5762, 0.2289, 0.1716)
H (0.9238, 0.5953, 0.1526)
H (0.5573, 0.7289, 0.6526)
Er (0.5000, 0.0000, 0.5000)
H (0.9047, 0.8474, 0.5762)
Er (0.7500, 0.6250, 0.3750)
H (0.0573, 0.9047, 0.3284)
H (0.4047, 0.0762, 0.3474)
Ti (0.3750, 0.7500, 0.6250)
Ti (0.6250, 0.3750, 0.7500)
H (0.9238, 0.3284, 0.2711)
H (0.3284, 0.4047, 0.0573)
H (0.0953, 0.9427, 0.1716)
H (0.1716, 0.4427, 0.0953)
H (0.4427, 0.2711, 0.3474)
H (0.2289, 0.5762, 0.6716)
H (0.3474, 0.7711, 0.4427)
H (0.5953, 0.6716, 0.4427)
Er (0.6250, 0.7500, 0.8750)
H (0.6526, 0.4238, 0.5953)
Er (0.1250, 0.7500, 0.3750)
H (0.8284, 0.5573, 0.9047)
H (0.9427, 0.0953, 0.6716)
H (0.1526, 0.0953, 0.9238)
Er (0.2500, 0.8750, 0.1250)